La4BePb | PBE | optimized geometry

Geometry as POSCAR:
```
La4BePb
1.0
0.000 4.571 4.571
4.571 0.000 4.571
4.571 4.571 0.000
La Be Pb
4 1 1
direct
0.124 0.124 0.124
0.124 0.124 0.628
0.124 0.628 0.124
0.628 0.124 0.124
0.500 0.500 0.500
0.750 0.750 0.750
```

Total energy ... -24.43 eV/cell
Formation enthalpy at 0 K ... 0.452 eV/atom
Crystal system ... cubic